Crystalline ScMo2W at its relaxed geometry. Source: Alexandria, functional PBEsol.

Cell lengths 3.1369, 3.1369, 6.7001 Å; angles 90.00, 90.00, 90.00 degrees
With the nearest neighbours (Å) after each atom.
Element x y z (fractional)
W: 0.5000 0.5000 0.7747  4 Mo 2.69, 4 Sc 2.89
Mo: 0.5000 0.5000 0.2251  4 Mo 2.68, 4 Sc 2.88
Sc: 0.0000 0.0000 0.4991  4 Mo 2.88, 4 W 2.89, 4 Sc 3.14
Mo: 0.0000 0.0000 0.0011  4 Mo 2.68, 4 W 2.69

Computed properties:
- Energy relative to the lowest polymorph listed for this composition: 61 meV/atom
- V: 66 Å³/cell
- Crystal system: tetragonal
- Calculated formation energy: 149 meV/atom
- Electronic total energy: -10.84 eV per atom